Entry 1:
! CaLaB2 | the Alexandria database | PBE | optimized geometry; values from VASP
! **Final energy**: -4.187 eV/atom
! **Relative energy among the computed polymorphs**: 0.3467 eV per atom
! **Formation energy from the elements**: 0.88 eV/atom
&SYSTEM
  ibrav = 0, nat = 8, ntyp = 3
/
ATOMIC_SPECIES
Ca 40.08 Ca.upf
La 138.91 La.upf
B 10.81 B.upf
CELL_PARAMETERS angstrom
-3.522 3.522 3.638
3.522 -3.522 3.638
3.522 3.522 -3.638
ATOMIC_POSITIONS angstrom
Ca 0.000 0.000 0.000
Ca 0.000 3.522 1.819
La 3.522 0.000 1.819
La 0.000 0.000 3.638
B 1.761 1.791 -0.910
B 5.252 1.761 0.910
B 1.761 1.731 2.729
B -1.731 1.761 4.548

***

Entry 2:
! V2InMo | the Alexandria database | PBE | optimized geometry; values from VASP
! **Final energy**: -7.926 eV/atom
! **Formation energy from the elements**: 0.03 eV/atom
&SYSTEM
  ibrav = 0, nat = 4, ntyp = 3
/
ATOMIC_SPECIES
V 50.94 V.upf
In 114.82 In.upf
Mo 95.94 Mo.upf
CELL_PARAMETERS angstrom
3.213 0.000 0.000
0.000 3.213 0.000
0.000 0.000 6.219
ATOMIC_POSITIONS angstrom
V 0.000 0.000 1.335
V 0.000 0.000 4.884
In 1.606 1.606 3.109
Mo 1.606 1.606 0.000

***

Entry 3:
! LiRhAu | the Alexandria database | PBE | optimized geometry; values from VASP
! **Final energy**: -4.012 eV/atom
! **Relative energy among the computed polymorphs**: 0.2650 eV per atom
! **Formation energy from the elements**: 0.17 eV/atom
&SYSTEM
  ibrav = 0, nat = 3, ntyp = 3
/
ATOMIC_SPECIES
Li 6.94 Li.upf
Rh 102.91 Rh.upf
Au 196.97 Au.upf
CELL_PARAMETERS angstrom
0.000 2.852 2.852
2.852 0.000 2.852
2.852 2.852 0.000
ATOMIC_POSITIONS angstrom
Li 0.000 0.000 0.000
Rh 1.426 1.426 1.426
Au 4.278 4.278 4.278

***

Entry 4:
! Sr3CaHf4O12 | the Alexandria database | PBE | optimized geometry; values from VASP
! **Final energy**: -8.709 eV/atom
! **Energy relative to the elements, uncorrected**: -3.39 eV/atom
&SYSTEM
  ibrav = 0, nat = 20, ntyp = 4
/
ATOMIC_SPECIES
Sr 87.62 Sr.upf
Ca 40.08 Ca.upf
Hf 178.49 Hf.upf
O 16.00 O.upf
CELL_PARAMETERS angstrom
5.751 0.000 0.000
0.000 8.170 0.000
-0.015 0.000 5.815
ATOMIC_POSITIONS angstrom
Sr 0.000 0.000 0.000
Sr 0.065 4.085 5.461
Sr 2.956 0.000 2.869
Ca 2.880 4.085 2.483
Hf 0.042 2.063 2.722
Hf 0.042 6.107 2.722
Hf 2.914 2.057 5.616
Hf 2.914 6.114 5.616
O 0.440 0.000 2.679
O 1.291 2.337 1.067
O 1.291 5.833 1.067
O 1.726 2.451 3.925
O 1.726 5.719 3.925
O 2.499 0.000 5.484
O 3.330 4.085 0.035
O 4.172 1.714 1.454
O 4.172 6.456 1.454
O 4.581 1.771 4.396
O 4.581 6.399 4.396
O 5.267 4.085 2.785

***

Entry 5:
! La2DyTmBi4 | the Alexandria database | PBE | optimized geometry; values from VASP
! **Final energy**: -5.241 eV/atom
! **Formation energy from the elements**: -0.93 eV/atom
&SYSTEM
  ibrav = 0, nat = 8, ntyp = 4
/
ATOMIC_SPECIES
La 138.91 La.upf
Dy 162.50 Dy.upf
Tm 168.93 Tm.upf
Bi 208.98 Bi.upf
CELL_PARAMETERS angstrom
7.908 0.000 0.000
0.000 4.592 0.000
-2.661 0.000 7.488
ATOMIC_POSITIONS angstrom
La 0.000 0.000 0.000
La -1.330 2.296 3.744
Dy 2.624 0.000 3.744
Tm 3.954 2.296 0.000
Bi 1.413 2.296 1.896
Bi 0.084 0.000 5.664
Bi 5.164 0.000 1.824
Bi 3.835 2.296 5.592

***

Entry 6:
! Ho8Tm5Pu | the Alexandria database | PBE | optimized geometry; values from VASP
! **Final energy**: -4.941 eV/atom
! **Formation energy from the elements**: 0.30 eV/atom
&SYSTEM
  ibrav = 0, nat = 14, ntyp = 3
/
ATOMIC_SPECIES
Ho 164.93 Ho.upf
Tm 168.93 Tm.upf
Pu 244.00 Pu.upf
CELL_PARAMETERS angstrom
-4.919 4.919 4.526
4.919 -4.919 4.526
4.919 4.919 -4.526
ATOMIC_POSITIONS angstrom
Ho 4.586 3.334 -2.803
Ho 3.434 2.400 0.374
Ho 2.518 -1.484 4.152
Ho 0.333 1.584 1.723
Ho 2.400 6.403 -0.374
Ho 1.584 -0.333 7.328
Ho 1.484 2.518 4.900
Ho 3.334 5.251 2.803
Tm 3.361 -0.769 1.106
Tm 6.476 0.769 1.106
Tm 5.687 -1.557 3.420
Tm 4.150 1.557 3.420
Tm 0.000 4.919 2.263
Pu 0.000 0.000 4.526

***

Entry 7:
! ZrTaNi10 | the Alexandria database | PBE | optimized geometry; values from VASP
! **Final energy**: -6.686 eV/atom
! **Formation energy from the elements**: -0.17 eV/atom
&SYSTEM
  ibrav = 0, nat = 12, ntyp = 3
/
ATOMIC_SPECIES
Zr 91.22 Zr.upf
Ta 180.95 Ta.upf
Ni 58.69 Ni.upf
CELL_PARAMETERS angstrom
3.965 0.000 0.000
0.000 4.695 0.000
0.000 0.000 8.118
ATOMIC_POSITIONS angstrom
Zr 0.000 0.000 0.000
Ta 0.000 2.347 4.059
Ni 0.000 0.000 2.747
Ni 0.000 0.000 5.371
Ni 0.000 2.347 1.405
Ni 0.000 2.347 6.713
Ni 1.983 0.000 4.059
Ni 1.983 1.189 2.069
Ni 1.983 1.189 6.049
Ni 1.983 2.347 0.000
Ni 1.983 3.506 2.069
Ni 1.983 3.506 6.049

***

Entry 8:
! Pu2Al2Zn | the Alexandria database | PBE | optimized geometry; values from VASP
! **Final energy**: -7.563 eV/atom
! **Formation energy from the elements**: -0.08 eV/atom
&SYSTEM
  ibrav = 0, nat = 5, ntyp = 3
/
ATOMIC_SPECIES
Pu 244.00 Pu.upf
Al 26.98 Al.upf
Zn 65.41 Zn.upf
CELL_PARAMETERS angstrom
5.270 -2.711 0.000
5.270 2.711 0.000
-1.636 0.000 3.829
ATOMIC_POSITIONS angstrom
Pu 1.881 0.000 0.803
Pu 7.023 0.000 3.027
Al 4.452 1.421 1.915
Al 4.452 -1.421 1.915
Zn 5.270 0.000 0.000

***

Entry 9:
! Ac5LaPrY2 | the Alexandria database | PBE | optimized geometry; values from VASP
! **Final energy**: -4.646 eV/atom
! **Formation energy from the elements**: 0.15 eV/atom
&SYSTEM
  ibrav = 0, nat = 18, ntyp = 4
/
ATOMIC_SPECIES
Ac 227.00 Ac.upf
La 138.91 La.upf
Pr 140.91 Pr.upf
Y 88.91 Y.upf
CELL_PARAMETERS angstrom
2.986 -10.948 0.000
2.986 10.948 0.000
0.000 0.000 11.354
ATOMIC_POSITIONS angstrom
Ac 2.986 10.731 5.677
Ac 2.986 4.867 9.154
Ac 2.986 4.440 2.176
Ac 2.986 2.667 5.750
Ac 2.986 0.254 2.667
Ac 2.986 -0.254 8.344
Ac 2.986 -2.667 0.072
Ac 2.986 -4.440 7.853
Ac 2.986 -4.867 3.477
Ac 2.986 -10.731 0.000
La 2.986 6.610 5.687
La 2.986 -6.610 0.010
Pr 2.986 2.050 10.850
Pr 2.986 -2.050 5.173
Y 2.986 8.477 8.866
Y 2.986 8.449 2.667
Y 2.986 -8.449 8.344
Y 2.986 -8.477 3.189

***

Entry 10:
! U6PC3N2 | the Alexandria database | PBE | optimized geometry; values from VASP
! **Final energy**: -10.359 eV/atom
! **Energy relative to the elements, uncorrected**: -0.57 eV/atom
&SYSTEM
  ibrav = 0, nat = 12, ntyp = 4
/
ATOMIC_SPECIES
U 238.03 U.upf
P 30.97 P.upf
C 12.01 C.upf
N 14.01 N.upf
CELL_PARAMETERS angstrom
7.714 -1.791 0.000
7.714 1.791 0.000
-1.531 0.000 6.902
ATOMIC_POSITIONS angstrom
U -0.381 0.000 1.899
U 3.611 0.000 6.289
U 4.477 0.000 2.907
U 9.420 0.000 3.995
U 10.286 0.000 0.613
U 14.279 0.000 5.004
P 7.714 0.000 0.000
C 1.272 0.000 5.687
C 6.949 0.000 3.451
C 12.625 0.000 1.215
N 2.113 0.000 2.314
N 11.784 0.000 4.588

***

Entry 11:
! ScCoAs2 | the Alexandria database | PBE | optimized geometry; values from VASP
! **Final energy**: -6.059 eV/atom
! **Formation energy from the elements**: -0.38 eV/atom
&SYSTEM
  ibrav = 0, nat = 4, ntyp = 3
/
ATOMIC_SPECIES
Sc 44.96 Sc.upf
Co 58.93 Co.upf
As 74.92 As.upf
CELL_PARAMETERS angstrom
4.277 0.000 0.000
0.000 4.277 0.000
0.000 0.000 3.513
ATOMIC_POSITIONS angstrom
Sc 0.000 0.000 0.000
Co 2.139 2.139 0.000
As 0.000 2.139 1.756
As 2.139 0.000 1.756

***

Entry 12:
! LuMgRuAu | the Alexandria database | PBE | optimized geometry; values from VASP
! **Final energy**: -5.116 eV/atom
! **Formation energy from the elements**: -0.45 eV/atom
&SYSTEM
  ibrav = 0, nat = 4, ntyp = 4
/
ATOMIC_SPECIES
Lu 174.97 Lu.upf
Mg 24.30 Mg.upf
Ru 101.07 Ru.upf
Au 196.97 Au.upf
CELL_PARAMETERS angstrom
0.000 3.320 3.320
3.320 0.000 3.320
3.320 3.320 0.000
ATOMIC_POSITIONS angstrom
Lu 0.000 0.000 0.000
Mg 3.320 3.320 3.320
Ru 4.981 4.981 4.981
Au 1.660 1.660 1.660

***

Entry 13:
! PmTlZnRh | the Alexandria database | PBE | optimized geometry; values from VASP
! **Final energy**: -4.206 eV/atom
! **Formation energy from the elements**: -0.27 eV/atom
&SYSTEM
  ibrav = 0, nat = 4, ntyp = 4
/
ATOMIC_SPECIES
Pm 145.00 Pm.upf
Tl 204.38 Tl.upf
Zn 65.41 Zn.upf
Rh 102.91 Rh.upf
CELL_PARAMETERS angstrom
0.000 3.463 3.463
3.463 0.000 3.463
3.463 3.463 0.000
ATOMIC_POSITIONS angstrom
Pm 0.000 0.000 0.000
Tl 3.463 3.463 3.463
Zn 5.194 5.194 5.194
Rh 1.731 1.731 1.731